1.
HfO2: optimized geometry, PBE-GGA.

Output
formation energy (no corrections)	-340.4	kJ per mole of atoms

Lattice parameters (Å, degrees): 4.8565 5.8363 16.0467 90.00 90.00 90.00
With the nearest neighbours (Å) after each atom.
Space group Pbcn (No. 60)
One atom of each set of equivalent atoms:
Hf (0.0000, 0.0258, 0.2500) (multiplicity 4)  6 O 2.04-2.17
Hf (0.0025, 0.3492, 0.0842) (multiplicity 8)  6 O 2.09-2.11
O (0.2037, 0.3697, 0.5303) (multiplicity 8)  3 Hf 2.10
O (0.2115, 0.0734, 0.3625) (multiplicity 8)  3 Hf 2.10-2.11
O (0.2205, 0.3123, 0.1959) (multiplicity 8)  3 Hf 2.04-2.17

***

2.
Hf4O: optimized geometry, PBE-GGA.

Output
distance to the lowest polymorph of the same formula	0.001	eV per atom
formation energy (no corrections)	-106.0	kJ per mole of atoms

Lattice parameters (Å, degrees): 10.1809 11.1945 6.4641 90.00 90.00 90.00
With the nearest neighbours (Å) after each atom.
Space group Fdd2 (No. 43)
One atom of each set of equivalent atoms:
Hf (0.1228, 0.1670, 0.0000) (multiplicity 16)  1 O 2.28
Hf (0.1236, 0.1652, 0.5046) (multiplicity 16)  2 O 2.24
O (0.0000, 0.0000, 0.4973) (multiplicity 8)  6 Hf 2.24-2.28

***

3.
HfO: optimized geometry, PBE-GGA.

Output
formation energy (no corrections)	-236.6	kJ per mole of atoms

Lattice parameters (Å, degrees): 5.1322 6.4333 6.4724 90.00 90.00 90.00
With the nearest neighbours (Å) after each atom.
Space group P2_12_12_1 (No. 19)
One atom of each set of equivalent atoms:
Hf (0.0074, 0.1767, 0.1154) (multiplicity 4)  4 O 2.12-2.26
Hf (0.0121, 0.6132, 0.8703) (multiplicity 4)  4 O 2.11-2.32
O (0.0833, 0.3336, 0.3964) (multiplicity 4)  4 Hf 2.11-2.26
O (0.2397, 0.9571, 0.3758) (multiplicity 4)  4 Hf 2.17-2.32

***

4.
Hf4O: optimized geometry, PBE-GGA.

Output
distance to the lowest polymorph of the same formula	0.000	eV per atom
formation energy (no corrections)	-106.2	kJ per mole of atoms

Lattice parameters (Å, degrees): 6.4442 11.2125 5.0966 90.00 90.00 90.00
With the nearest neighbours (Å) after each atom.
Space group Cmce (No. 64)
One atom of each set of equivalent atoms:
Hf (0.0000, 0.1675, 0.2453) (multiplicity 8)  1 O 2.28
Hf (0.2500, 0.0811, 0.7500) (multiplicity 8)  2 O 2.25
O (0.0000, 0.0000, 0.5000) (multiplicity 4)  6 Hf 2.25-2.28

***

5.
HfO2: optimized geometry, PBE-GGA.

Output
formation energy (no corrections)	-342.2	kJ per mole of atoms

Lattice parameters (Å, degrees): 5.1762 5.3180 10.1881 90.00 90.00 90.00
With the nearest neighbours (Å) after each atom.
Space group Pbca (No. 61)
One atom of each set of equivalent atoms:
Hf (0.0416, 0.1559, 0.1380) (multiplicity 8)  7 O 2.06-2.24
O (0.1742, 0.6621, 0.5320) (multiplicity 8)  3 Hf 2.06-2.12
O (0.2474, 0.5893, 0.7757) (multiplicity 8)  4 Hf 2.19-2.24

***

6.
HfO2: optimized geometry, PBE-GGA.

Output
formation energy (no corrections)	-340.7	kJ per mole of atoms

Lattice parameters (Å, degrees): 4.8618 4.8618 3.2267 90.00 90.00 90.00
With the nearest neighbours (Å) after each atom.
Space group P4_2/mnm (No. 136)
One atom of each set of equivalent atoms:
Hf (0.0000, 0.0000, 0.0000) (multiplicity 2)  6 O 2.10
O (0.1947, 0.1947, 0.5000) (multiplicity 4)  3 Hf 2.10

***

7.
HfO: optimized geometry, PBE-GGA.

Output
formation energy (no corrections)	-219.2	kJ per mole of atoms

Lattice parameters (Å, degrees): 3.1747 3.1747 6.6486 90.00 90.00 120.00
With the nearest neighbours (Å) after each atom.
Space group P6_3mc (No. 186)
One atom of each set of equivalent atoms:
Hf (0.3333, 0.6667, 0.0000) (multiplicity 2)  1 O 2.01
O (0.3333, 0.6667, 0.6980) (multiplicity 2)  1 Hf 2.01

***

8.
HfO2: optimized geometry, PBE-GGA.

Output
formation energy (no corrections)	-337.8	kJ per mole of atoms

Lattice parameters (Å, degrees): 3.5912 3.5912 5.2283 90.00 90.00 90.00
With the nearest neighbours (Å) after each atom.
Space group P4_2/nmc (No. 137, origin choice 2)
One atom of each set of equivalent atoms:
Hf (0.2500, 0.7500, 0.2500) (multiplicity 2)  4 O 2.06
O (0.2500, 0.2500, 0.0550) (multiplicity 4)  2 Hf 2.06